# NaHfSbOs

A geometry-optimized NaHfSbOs structure (PBE, OQMD).

**Total magnetic moment**: 0.01 μB per cell
**Space-group type**: No. 216
**Energy above the lowest structure with this stoichiometry**: 0.000 eV per formula unit

Unit cell a=6.5977 b=6.5977 c=6.5977 alpha=90.00 beta=90.00 gamma=90.00
Positions (direct):
1 Na 0.0000 0.0000 0.0000
2 Na 0.0000 0.5000 0.5000
3 Na 0.5000 0.0000 0.5000
4 Na 0.5000 0.5000 0.0000
5 Hf 0.2500 0.2500 0.7500
6 Hf 0.2500 0.7500 0.2500
7 Hf 0.7500 0.2500 0.2500
8 Hf 0.7500 0.7500 0.7500
9 Sb 0.2500 0.2500 0.2500
10 Sb 0.2500 0.7500 0.7500
11 Sb 0.7500 0.2500 0.7500
12 Sb 0.7500 0.7500 0.2500
13 Os 0.0000 0.0000 0.5000
14 Os 0.0000 0.5000 0.0000
15 Os 0.5000 0.0000 0.0000
16 Os 0.5000 0.5000 0.5000